The following is a GGA-PBE calculation of a relaxed structure of Pm2Cd2Pd7, from Alexandria via LeMat-Bulk.

Calculated values
Size of the total moment, μB per cell: 0.0
Formation energy from the elements, eV/atom: -0.1778

Lattice parameters (Å, degrees): 5.833 5.833 7.201 90.00 90.00 103.46
Sites, in units of the cell vectors:
Pm 0.199 0.801 0.000
Pm 0.801 0.199 0.000
Cd 0.315 0.315 0.500
Cd 0.685 0.685 0.500
Pd 0.000 0.000 0.298
Pd 0.000 0.000 0.702
Pd 0.000 0.500 0.299
Pd 0.000 0.500 0.701
Pd 0.500 0.000 0.299
Pd 0.500 0.000 0.701
Pd 0.500 0.500 0.000